Record 1
Here is a relaxed MgAlW2 crystal from Alexandria. Energies are from PBE.

Structure (POSCAR):
```
MgAlW2
1.0
3.381 0.000 0.000
0.000 3.381 0.000
0.000 0.000 5.917
Mg Al W
1 1 2
direct
0.500 0.500 0.750
0.500 0.500 0.250
0.000 0.000 0.456
0.000 0.000 0.044
```

Density of states at the Fermi level   0.609 states/eV per atom
Calculated volume   16.91 Å³ per atom
Excess energy over the best structure of this formula in the dataset   0.279 eV/atom
DFT formation energy   431 meV/atom
Space group   P4/mmm, No. 123

Record 2
Here is a relaxed Zr3Al2H crystal from Alexandria. Energies are from PBE.

Structure (POSCAR):
```
Zr3Al2H
1.0
4.287 0.000 0.000
0.000 6.522 -0.735
-2.144 -2.435 7.632
Al Zr H
4 6 2
direct
0.301 0.550 0.602
0.699 0.450 0.398
0.301 0.050 0.602
0.699 0.950 0.398
0.122 0.623 0.244
0.500 0.250 0.000
0.878 0.377 0.756
0.500 0.750 0.000
0.878 0.877 0.756
0.122 0.123 0.244
0.000 0.750 0.000
0.000 0.250 0.000
```

Density of states at the Fermi level   0.796 states/eV per atom
Calculated volume   17.14 Å³ per atom
Space group   Cmmm, No. 65

Record 3
Here is a relaxed Pr4N3 crystal from Alexandria. Energies are from PBE.

Structure (POSCAR):
```
Pr4N3
1.0
6.943 0.000 0.000
-2.314 6.546 0.000
-2.314 -3.273 5.669
Pr N
8 6
direct
0.101 0.601 0.601
0.399 0.500 0.000
0.601 0.101 0.101
0.000 0.000 0.899
0.500 0.899 0.500
0.899 0.500 0.000
0.500 0.399 0.500
0.000 0.000 0.399
0.875 0.250 0.625
0.125 0.375 0.250
0.250 0.875 0.125
0.625 0.750 0.875
0.750 0.625 0.375
0.375 0.125 0.750
```

Density of states at the Fermi level   0.967 states/eV per atom
Formation energy from raw total energies   -0.757 eV/atom
Calculated volume   18.41 Å³ per atom
Excess energy over the best structure of this formula in the dataset   0.306 eV/atom
Space group   I-43d, No. 220

Record 4
Here is a relaxed Dy2Tm2Tl7 crystal from Alexandria. Energies are from PBE.

Structure (POSCAR):
```
Dy2Tm2Tl7
1.0
6.884 -0.872 -1.539
-0.918 7.926 0.869
-1.964 0.867 6.776
Tl Dy Tm
7 2 2
direct
0.515 0.191 0.485
0.003 0.692 0.458
0.997 0.308 0.542
0.485 0.809 0.515
0.458 0.308 0.003
0.000 0.000 0.000
0.542 0.692 0.997
0.249 0.500 0.249
0.751 0.500 0.751
0.259 0.989 0.741
0.741 0.011 0.259
```

Density of states at the Fermi level   0.883 states/eV per atom
Calculated volume   30.72 Å³ per atom
DFT formation energy   38 meV/atom
Space group   C2/m, No. 12

Record 5
Here is a relaxed CaIrRh crystal from Alexandria. Energies are from PBE.

Structure (POSCAR):
```
CaIrRh
1.0
6.641 -0.003 0.004
6.005 2.836 0.005
0.636 0.141 2.836
Ir Ca Rh
1 1 1
direct
0.316 0.316 0.684
0.999 0.999 0.001
0.685 0.685 0.315
```

Density of states at the Fermi level   1.120 states/eV per atom
Calculated volume   17.82 Å³ per atom
Excess energy over the best structure of this formula in the dataset   0.448 eV/atom
DFT formation energy   -1 meV/atom
Space group   I4mm, No. 107

Record 6
Here is a relaxed YGe3Cl crystal from Alexandria. Energies are from PBE.

Structure (POSCAR):
```
YGe3Cl
1.0
4.938 0.000 0.000
0.000 4.938 0.000
0.000 0.000 4.938
Ge Cl Y
3 1 1
direct
0.500 0.000 0.000
0.000 0.000 0.500
0.000 0.500 0.000
0.000 0.000 0.000
0.500 0.500 0.500
```

Density of states at the Fermi level   0.746 states/eV per atom
Formation energy from raw total energies   0.269 eV/atom
Calculated volume   24.09 Å³ per atom
Excess energy over the best structure of this formula in the dataset   0.000 eV/atom
Space group   Pm-3m, No. 221

Record 7
Here is a relaxed K3Hf2CuS6 crystal from Alexandria. Energies are from PBE.

Structure (POSCAR):
```
K3Hf2CuS6
1.0
-2.605 -2.837 5.424
3.033 -3.629 -4.678
6.193 2.920 3.228
K S Cu Hf
3 6 1 2
direct
0.158 0.842 0.500
0.842 0.158 0.500
0.500 0.500 0.500
0.937 0.582 0.803
0.582 0.937 0.803
0.727 0.727 0.182
0.273 0.273 0.818
0.063 0.418 0.197
0.418 0.063 0.197
0.000 0.000 0.000
0.668 0.332 0.000
0.332 0.668 0.000
```

Formation energy from raw total energies   -1.282 eV/atom
Calculated volume   22.91 Å³ per atom
Space group   C2/m, No. 12

Record 8
Here is a relaxed HfGa3N crystal from Alexandria. Energies are from PBE.

Structure (POSCAR):
```
HfGa3N
1.0
-1.689 3.887 0.790
-3.961 -1.609 -0.549
-0.200 -0.941 4.202
N Hf Ga
1 1 3
direct
0.000 0.000 0.000
0.500 0.500 0.500
0.000 0.000 0.500
0.000 0.500 0.000
0.500 0.000 0.000
```

Density of states at the Fermi level   1.051 states/eV per atom
Formation energy from raw total energies   0.413 eV/atom
Calculated volume   16.02 Å³ per atom
Excess energy over the best structure of this formula in the dataset   0.000 eV/atom
Space group   Pm-3m, No. 221

Record 9
Here is a relaxed OsRuRh2 crystal from Alexandria. Energies are from PBE.

Structure (POSCAR):
```
OsRuRh2
1.0
4.443 0.000 0.000
0.000 7.488 0.000
-2.222 0.000 3.676
Os Ru Rh
2 2 4
direct
0.089 0.250 0.177
0.911 0.750 0.823
0.423 0.250 0.846
0.577 0.750 0.154
0.242 0.917 0.484
0.242 0.583 0.484
0.758 0.417 0.516
0.758 0.083 0.516
```

Density of states at the Fermi level   0.861 states/eV per atom
Calculated volume   15.29 Å³ per atom
Excess energy over the best structure of this formula in the dataset   0.317 eV/atom
DFT formation energy   365 meV/atom
Space group   Cmcm, No. 63

Record 10
Here is a relaxed Zr3Pt crystal from Alexandria. Energies are from PBE.

Structure (POSCAR):
```
Zr3Pt
1.0
3.328 0.000 0.047
0.000 4.419 0.000
1.890 0.000 5.726
Zr Pt
3 1
direct
0.793 0.500 0.766
0.500 0.000 0.500
0.207 0.500 0.234
0.000 0.000 0.000
```

Density of states at the Fermi level   0.989 states/eV per atom
Calculated volume   20.95 Å³ per atom
DFT formation energy   -392 meV/atom
Space group   P2/m, No. 10

Record 11
Here is a relaxed Cd2TeP crystal from Alexandria. Energies are from PBE.

Structure (POSCAR):
```
Cd2TeP
1.0
-3.470 1.350 0.786
-1.556 -2.808 -2.045
-0.282 -4.240 6.037
P Cd Te
1 2 1
direct
0.000 0.000 0.670
0.000 0.000 0.027
0.500 0.500 0.201
0.500 0.500 0.602
```

Density of states at the Fermi level   0.356 states/eV per atom
Formation energy from raw total energies   0.134 eV/atom
Calculated volume   26.74 Å³ per atom
Excess energy over the best structure of this formula in the dataset   0.200 eV/atom
Space group   P4mm, No. 99

Record 12
Here is a relaxed Zn3TcGe crystal from Alexandria. Energies are from PBE.

Structure (POSCAR):
```
Zn3TcGe
1.0
-1.208 3.057 -3.488
-4.633 -0.627 1.055
0.217 3.637 3.113
Zn Ge Tc
3 1 1
direct
0.000 0.000 0.500
0.500 0.000 0.000
0.000 0.500 0.000
0.500 0.500 0.500
0.000 0.000 0.000
```

Density of states at the Fermi level   0.605 states/eV per atom
Calculated volume   22.02 Å³ per atom
Excess energy over the best structure of this formula in the dataset   0.000 eV/atom
DFT formation energy   869 meV/atom
Space group   Pm-3m, No. 221

Computed E (eV/atom) in order:
-7.380, -6.483, -7.056, -3.118, -6.072, -4.164, -5.620, -5.059, -8.437, -8.313, -2.462, -2.892